Below is a geometry-optimized Cs2LiYBr6 structure, with properties calculated at the PBE-GGA level.

abc: 7.9283 7.9283 7.9283
angles: 60.00 60.00 60.00
Sites, in units of the cell vectors:
Cs1 0.7500 0.7500 0.7500
Cs2 0.2500 0.2500 0.2500
Y1 0.0000 0.0000 0.0000
Br1 0.7496 0.7496 0.2503
Br2 0.2503 0.7496 0.2503
Br3 0.7496 0.2503 0.2503
Br4 0.2503 0.2503 0.7496
Br5 0.7496 0.2503 0.7496
Br6 0.2503 0.7496 0.7496
Li1 0.5000 0.5000 0.5000

Calculated values
Raw formation energy (eV per atom): -1.820
Magnetization (μB/atom): 0.0000
Total energy (eV/atom): -3.83